No. 1
# MoOsC3 PBE-GGA optimized geometry
data_MoOsC3
_cell_length_a 3.926
_cell_length_b 3.926
_cell_length_c 3.926
_cell_angle_alpha 90.00
_cell_angle_beta 90.00
_cell_angle_gamma 90.00
_symmetry_space_group_name_H-M 'P m -3 m'
_symmetry_Int_Tables_number 221
_symmetry_space_group_name_Hall '-P 4 2 3'
loop_
_atom_site_label
_atom_site_type_symbol
_atom_site_fract_x
_atom_site_fract_y
_atom_site_fract_z
_atom_site_occupancy
Mo1 Mo 0.000 0.000 0.000 1
Os1 Os 0.500 0.500 0.500 1
C1 C 0.000 0.500 0.500 1
# ΔE_f = 11.10 eV/f.u.
# energy above the most stable polymorph in this dataset = 0 meV/atom
# crystal system = cubic


No. 2
# Sc2SbRu PBE-GGA optimized geometry
data_Sc2SbRu
_cell_length_a 4.581
_cell_length_b 4.588
_cell_length_c 7.698
_cell_angle_alpha 90.00
_cell_angle_beta 90.00
_cell_angle_gamma 90.00
_symmetry_space_group_name_H-M 'C m m m'
_symmetry_Int_Tables_number 65
_symmetry_space_group_name_Hall '-C 2 2'
loop_
_atom_site_label
_atom_site_type_symbol
_atom_site_fract_x
_atom_site_fract_y
_atom_site_fract_z
_atom_site_occupancy
Sc1 Sc 0.000 0.000 0.203 1
Sb1 Sb 0.000 0.500 0.500 1
Ru1 Ru 0.000 0.500 0.000 1
# crystal system = orthorhombic


No. 3
# Ce2PuMn PBE-GGA optimized geometry
data_Ce2PuMn
_cell_length_a 7.010
_cell_length_b 7.010
_cell_length_c 7.010
_cell_angle_alpha 90.00
_cell_angle_beta 90.00
_cell_angle_gamma 90.00
_symmetry_space_group_name_H-M 'F m -3 m'
_symmetry_Int_Tables_number 225
_symmetry_space_group_name_Hall '-F 4 2 3'
loop_
_atom_site_label
_atom_site_type_symbol
_atom_site_fract_x
_atom_site_fract_y
_atom_site_fract_z
_atom_site_occupancy
Ce1 Ce 0.250 0.250 0.250 1
Pu1 Pu 0.000 0.000 0.000 1
Mn1 Mn 0.000 0.000 0.500 1
# ΔE_f = 1.18 eV/f.u.
# energy above the most stable polymorph in this dataset = 98 meV/atom
# crystal system = cubic


No. 4
# LaTb2Tm5Sc PBE-GGA optimized geometry
data_LaTb2Tm5Sc
_cell_length_a 5.542
_cell_length_b 19.555
_cell_length_c 10.312
_cell_angle_alpha 90.00
_cell_angle_beta 90.00
_cell_angle_gamma 90.00
_symmetry_space_group_name_H-M 'C m c 21'
_symmetry_Int_Tables_number 36
loop_
_symmetry_equiv_pos_as_xyz
'x,y,z'
'-x,-y,z+1/2'
'-x,y,z'
'x,-y,z+1/2'
'x+1/2,y+1/2,z'
'-x+1/2,-y+1/2,z+1/2'
'-x+1/2,y+1/2,z'
'x+1/2,-y+1/2,z+1/2'
loop_
_atom_site_label
_atom_site_type_symbol
_atom_site_fract_x
_atom_site_fract_y
_atom_site_fract_z
_atom_site_occupancy
La1 La 0.000 0.085 0.000 1
Tb1 Tb 0.000 0.386 0.280 1
Tb2 Tb 0.000 0.389 0.862 1
Tm1 Tm 0.000 0.019 0.284 1
Tm2 Tm 0.000 0.124 0.567 1
Tm3 Tm 0.000 0.204 0.254 1
Tm4 Tm 0.000 0.224 0.871 1
Tm5 Tm 0.000 0.482 0.570 1
Sc1 Sc 0.000 0.302 0.561 1
# ΔE_f = 1.63 eV/f.u.
# crystal system = orthorhombic


No. 5
# PmCoSbH PBE-GGA optimized geometry
data_PmCoSbH
_cell_length_a 4.2965
_cell_length_b 4.2965
_cell_length_c 4.3220
_cell_angle_alpha 90.00
_cell_angle_beta 90.00
_cell_angle_gamma 120.00
_symmetry_space_group_name_H-M 'P 3 m 1'
_symmetry_Int_Tables_number 156
loop_
_symmetry_equiv_pos_as_xyz
'x,y,z'
'-y,x-y,z'
'-x+y,-x,z'
'-y,-x,z'
'-x+y,y,z'
'x,x-y,z'
loop_
_atom_site_label
_atom_site_type_symbol
_atom_site_fract_x
_atom_site_fract_y
_atom_site_fract_z
_atom_site_occupancy
Pm1 Pm 0.0000 0.0000 0.0000 1
Co1 Co 0.6667 0.3333 0.5866 1
Sb1 Sb 0.3333 0.6667 0.4973 1
H1 H 0.6667 0.3333 0.9498 1
# crystal system = trigonal


No. 6
# Ho2ScH8 PBE-GGA optimized geometry
data_Ho2ScH8
_cell_length_a 3.576
_cell_length_b 4.897
_cell_length_c 10.662
_cell_angle_alpha 90.00
_cell_angle_beta 90.00
_cell_angle_gamma 90.00
_symmetry_space_group_name_H-M 'I m m m'
_symmetry_Int_Tables_number 71
_symmetry_space_group_name_Hall '-I 2 2'
loop_
_atom_site_label
_atom_site_type_symbol
_atom_site_fract_x
_atom_site_fract_y
_atom_site_fract_z
_atom_site_occupancy
Ho1 Ho 0.000 0.000 0.169 1
Sc1 Sc 0.000 0.000 0.500 1
H1 H 0.000 0.252 0.000 1
H2 H 0.000 0.254 0.348 1
H3 H 0.000 0.500 0.174 1
# crystal system = orthorhombic


| no. | total energy (eV per formula unit) |
| --- | --- |
| 1 | -38.63 |
| 2 | -28.58 |
| 3 | -34.19 |
| 4 | -41.25 |
| 5 | -21.81 |
| 6 | -48.78 |